Entry 1:
This record from Alexandria describes a relaxed ReIr3Rh2 crystal. The functional is PBE-GGA.

Computed properties:
Magnetization: 0.00 μB/atom
E_form: -0.108 eV per atom
Distance to the lowest polymorph of the same formula: 0.00 eV/f.u.
Fermi-level density of states: 0.878 states/eV per atom
Volume: 14.44 A^3/atom
Total DFT energy (no corrections): -108.763 eV per cell

abc: 3.856 5.460 8.231
angles: 89.72 90.00 90.00
Sites, in units of the cell vectors:
Ir 0.750 0.122 0.583
Rh 0.750 0.124 0.915
Ir 0.750 0.629 0.912
Ir 0.750 0.625 0.246
Re 0.250 0.872 0.745
Rh 0.750 0.627 0.590
Ir 0.250 0.878 0.417
Rh 0.250 0.876 0.085
Ir 0.250 0.371 0.088
Rh 0.250 0.373 0.410
Ir 0.250 0.375 0.754
Re 0.750 0.128 0.255

Entry 2:
This record from Alexandria describes a relaxed LiLaIr3 crystal. The functional is PBE-GGA.

Computed properties:
Magnetization: 0.17 μB/atom
E_form: 1.648 eV per atom
Distance to the lowest polymorph of the same formula: 7.54 eV/f.u.
Fermi-level density of states: 0.645 states/eV per atom
Volume: 25.00 A^3/atom
Total DFT energy (no corrections): -25.182 eV per cell

abc: 5.000 5.000 5.000
angles: 90.00 90.00 90.00
Sites, in units of the cell vectors:
Ir 0.500 0.000 0.000
Ir 0.000 0.500 0.000
La 0.000 0.000 0.000
Ir 0.000 0.000 0.500
Li 0.500 0.500 0.500

Entry 3:
This record from Alexandria describes a relaxed MoOsPb2Se crystal. The functional is PBE-GGA.

Computed properties:
Magnetization: 0.00 μB/atom
Distance to the lowest polymorph of the same formula: 0.00 eV/f.u.
Fermi-level density of states: 0.490 states/eV per atom
Volume: 23.97 A^3/atom
Total DFT energy (no corrections): -62.864 eV per cell

abc: 5.677 3.754 11.501
angles: 90.00 102.06 90.00
Sites, in units of the cell vectors:
Pb 0.426 0.500 0.358
Pb 0.106 0.000 0.097
Pb 0.106 0.500 0.597
Os 0.712 0.000 0.534
Mo 0.615 0.000 0.148
Mo 0.615 0.500 0.648
Se 0.908 0.000 0.345
Pb 0.426 0.000 0.858
Os 0.712 0.500 0.034
Se 0.908 0.500 0.845

Entry 4:
This record from Alexandria describes a relaxed Y3Zn8Rh crystal. The functional is PBE-GGA.

Computed properties:
Magnetization: 0.00 μB/atom
E_form: -0.359 eV per atom
Fermi-level density of states: 0.555 states/eV per atom
Volume: 17.92 A^3/atom
Total DFT energy (no corrections): -41.246 eV per cell

abc: 5.284 5.284 9.401
angles: 73.68 73.68 60.00
Sites, in units of the cell vectors:
Zn 0.938 0.938 0.681
Zn 0.188 0.188 0.435
Zn 0.938 0.443 0.681
Zn 0.434 0.936 0.197
Zn 0.434 0.434 0.197
Y 0.379 0.379 0.864
Rh 0.882 0.882 0.354
Zn 0.686 0.686 0.943
Zn 0.443 0.938 0.681
Zn 0.936 0.434 0.197
Y 0.505 0.505 0.486
Y 0.988 0.988 0.035

Entry 5:
This record from Alexandria describes a relaxed AgPbBr4 crystal. The functional is PBE-GGA.

Computed properties:
Magnetization: 0.00 μB/atom
Distance to the lowest polymorph of the same formula: 0.00 eV/f.u.
Fermi-level density of states: 0.685 states/eV per atom
Volume: 34.59 A^3/atom
Total DFT energy (no corrections): -32.786 eV per cell

abc: 6.849 8.229 8.335
angles: 117.93 90.00 90.00
Sites, in units of the cell vectors:
Br 0.774 0.714 0.850
Ag 0.000 0.000 0.000
Br 0.226 0.286 0.150
Pb 0.000 0.500 0.500
Br 0.726 0.214 0.850
Ag 0.500 0.500 0.000
Br 0.274 0.786 0.150
Br 0.193 0.878 0.678
Br 0.307 0.378 0.678
Br 0.693 0.622 0.322
Pb 0.500 0.000 0.500
Br 0.807 0.122 0.322

Entry 6:
This record from Alexandria describes a relaxed Cs2K3Hg crystal. The functional is PBE-GGA.

Computed properties:
Magnetization: 0.00 μB/atom
E_form: -0.075 eV per atom
Distance to the lowest polymorph of the same formula: 0.00 eV/f.u.
Fermi-level density of states: 0.786 states/eV per atom
Volume: 71.13 A^3/atom
Total DFT energy (no corrections): -11.499 eV per cell

abc: 10.344 7.888 11.752
angles: 96.79 116.11 90.00
Sites, in units of the cell vectors:
Hg 0.769 0.750 0.000
K 0.977 0.883 0.815
K 0.592 0.250 0.000
Cs 0.839 0.714 0.361
Cs 0.522 0.214 0.361
K 0.023 0.117 0.185
Cs 0.161 0.286 0.639
K 0.161 0.617 0.185
K 0.839 0.383 0.815
Hg 0.231 0.250 0.000
Cs 0.478 0.786 0.639
K 0.408 0.750 0.000